[1]
An optimized crystal structure of UIBr4, computed with PBE.

Summary:
Raw total energy: -52.0 eV/cell
Mass density: 3.71 g/cm³
Formation energy from raw total energies: -627 kJ/mol of formula units
E above lowest polymorph: 0.000 eV/atom

Cell: 6.1070 15.1345 7.3010 Å, 90.00 114.74 90.00°
Sites, in units of the cell vectors:
U  0.0000  0.0000  0.0000
U  0.0000  0.5000  0.5000
I  0.5000  0.0000  0.0000
I  0.5000  0.5000  0.5000
Br  0.1337  0.1301  0.2659
Br  0.1337  0.3699  0.7659
Br  0.1485  0.6168  0.7964
Br  0.1485  0.8832  0.2964
Br  0.8515  0.1168  0.7036
Br  0.8515  0.3832  0.2036
Br  0.8663  0.6301  0.2341
Br  0.8663  0.8699  0.7341



[2]
An optimized crystal structure of UI2Br8, computed with PBE.

Summary:
Raw total energy: -35.2 eV/cell
Mass density: 3.53 g/cm³
Formation energy from raw total energies: -720 kJ/mol of formula units

Cell: 9.5120 9.5120 7.9325 Å, 105.90 105.90 51.01°
Sites, in units of the cell vectors:
U  0.0000  0.0000  0.0000
I  0.2630  0.2630  0.4545
I  0.7370  0.7370  0.5455
Br  0.0774  0.0774  0.3545
Br  0.1267  0.6726  0.0463
Br  0.3274  0.8733  0.9537
Br  0.4186  0.4186  0.5510
Br  0.5814  0.5814  0.4490
Br  0.6726  0.1267  0.0463
Br  0.8733  0.3274  0.9537
Br  0.9226  0.9226  0.6455



[3]
An optimized crystal structure of U2IBr8, computed with PBE.

Summary:
Raw total energy: -50.1 eV/cell
Mass density: 3.30 g/cm³
Formation energy from raw total energies: -1219 kJ/mol of formula units

Cell: 11.4663 11.4663 5.6818 Å, 103.90 103.90 60.65°
Sites, in units of the cell vectors:
U  0.1630  0.1630  0.1643
U  0.8370  0.8370  0.8357
I  0.0000  0.0000  0.0000
Br  0.0708  0.6137  0.8449
Br  0.1545  0.1545  0.6535
Br  0.3018  0.3018  0.3030
Br  0.3863  0.9292  0.1551
Br  0.6137  0.0708  0.8449
Br  0.6982  0.6982  0.6970
Br  0.8455  0.8455  0.3465
Br  0.9292  0.3863  0.1551



no.,magnetization (μB/cell)
1,2.00
2,0.37
3,3.00